# Pm6Sm3Y2Er PBE-GGA optimized geometry
data_Pm6Sm3Y2Er
_chemical_formula_sum 'Pm12 Sm6 Y4 Er2'
_symmetry_space_group_name_H-M 'C 1 2/m 1'
_symmetry_Int_Tables_number 12
_symmetry_space_group_name_Hall '-C 2y'
_cell_length_a 6.2818
_cell_length_b 10.8801
_cell_length_c 11.9577
_cell_angle_alpha 90.00
_cell_angle_beta 100.06
_cell_angle_gamma 90.00
loop_
_atom_site_label
_atom_site_fract_x
_atom_site_fract_y
_atom_site_fract_z
_atom_site_occupancy
Pm1 0.2493 0.0000 0.2522 1
Pm2 0.2491 0.1661 0.7477 1
Sm1 0.0000 0.1666 0.0000 1
Sm2 0.0000 0.5000 0.0000 1
Y1 0.0000 0.3333 0.5000 1
Er1 0.0000 0.0000 0.5000 1
# Volume in Å³ per cell: 805
# Energy in eV/atom: -5.00
# Fermi-level density of states in states/eV per atom: 1.31
# Energy relative to the elements in kJ/mol of atoms: 1.26